Entry 1:
# LuCdAgPd | the Open Quantum Materials Database | PBE | relaxed
data_LuCdAgPd
_chemical_formula_sum 'Lu1 Cd1 Ag1 Pd1'
_symmetry_space_group_name_H-M 'P 1'
_symmetry_Int_Tables_number 1
_cell_length_a 4.812
_cell_length_b 4.812
_cell_length_c 4.812
_cell_angle_alpha 60.00
_cell_angle_beta 60.00
_cell_angle_gamma 60.00
loop_
_symmetry_equiv_pos_as_xyz
'x,y,z'
loop_
_atom_site_label
_atom_site_type_symbol
_atom_site_fract_x
_atom_site_fract_y
_atom_site_fract_z
_atom_site_occupancy
Ag1 Ag 0.500 0.500 0.500 1
Cd1 Cd 0.250 0.250 0.250 1
Pd1 Pd 0.000 0.000 0.000 1
Lu1 Lu 0.750 0.750 0.750 1
# - Space group: F-43m, No. 216
# - Formation energy: -0.52 eV per atom
# - Energy: -15.50 eV for the cell shown
# - Offset from the most stable computed form: 0 meV/atom


Entry 2:
# Hf4Sc2Ga3C3 | the Open Quantum Materials Database | PBE | relaxed
data_Hf4Sc2Ga3C3
_chemical_formula_sum 'Hf8 Sc4 Ga6 C6'
_symmetry_space_group_name_H-M 'P 1'
_symmetry_Int_Tables_number 1
_cell_length_a 5.700
_cell_length_b 5.700
_cell_length_c 14.599
_cell_angle_alpha 101.43
_cell_angle_beta 101.43
_cell_angle_gamma 59.98
loop_
_symmetry_equiv_pos_as_xyz
'x,y,z'
loop_
_atom_site_label
_atom_site_type_symbol
_atom_site_fract_x
_atom_site_fract_y
_atom_site_fract_z
_atom_site_occupancy
Ga1 Ga 0.009 0.991 0.250 1
Ga2 Ga 0.584 0.837 0.251 1
Ga3 Ga 0.163 0.416 0.249 1
Ga4 Ga 0.837 0.584 0.751 1
Ga5 Ga 0.416 0.163 0.749 1
Ga6 Ga 0.991 0.009 0.750 1
Sc1 Sc 0.369 0.532 0.596 1
Sc2 Sc 0.468 0.631 0.904 1
Sc3 Sc 0.631 0.468 0.404 1
Sc4 Sc 0.532 0.369 0.096 1
C1 C 0.668 0.164 0.500 1
C2 C 0.164 0.668 0.000 1
C3 C 0.836 0.332 0.000 1
C4 C 0.332 0.836 0.500 1
C5 C 0.500 0.000 0.000 1
C6 C 0.000 0.500 0.500 1
Hf1 Hf 0.199 0.024 0.085 1
Hf2 Hf 0.801 0.976 0.915 1
Hf3 Hf 0.976 0.801 0.415 1
Hf4 Hf 0.695 0.858 0.585 1
Hf5 Hf 0.142 0.305 0.915 1
Hf6 Hf 0.305 0.142 0.415 1
Hf7 Hf 0.858 0.695 0.085 1
Hf8 Hf 0.024 0.199 0.585 1
# - Space group: C2/c, No. 15
# - Energy: -195.65 eV for the cell shown


Entry 3:
# K2CdNiBr6 | the Open Quantum Materials Database | PBE | relaxed
data_K2CdNiBr6
_chemical_formula_sum 'K2 Cd1 Ni1 Br6'
_symmetry_space_group_name_H-M 'P 1'
_symmetry_Int_Tables_number 1
_cell_length_a 7.522
_cell_length_b 7.522
_cell_length_c 7.522
_cell_angle_alpha 60.00
_cell_angle_beta 60.00
_cell_angle_gamma 60.00
loop_
_symmetry_equiv_pos_as_xyz
'x,y,z'
loop_
_atom_site_label
_atom_site_type_symbol
_atom_site_fract_x
_atom_site_fract_y
_atom_site_fract_z
_atom_site_occupancy
Br1 Br 0.240 0.760 0.760 1
Br2 Br 0.240 0.240 0.760 1
Br3 Br 0.760 0.760 0.240 1
Br4 Br 0.240 0.760 0.240 1
Br5 Br 0.760 0.240 0.760 1
Br6 Br 0.760 0.240 0.240 1
K1 K 0.750 0.750 0.750 1
K2 K 0.250 0.250 0.250 1
Cd1 Cd 0.500 0.500 0.500 1
Ni1 Ni 0.000 0.000 0.000 1
# - Space group: Fm-3m, No. 225
# - Energy: -28.44 eV for the cell shown


Entry 4:
# LaLuCu2As4 | the Open Quantum Materials Database | PBE | relaxed
data_LaLuCu2As4
_chemical_formula_sum 'La1 Lu1 Cu2 As4'
_symmetry_space_group_name_H-M 'P 1'
_symmetry_Int_Tables_number 1
_cell_length_a 3.944
_cell_length_b 3.944
_cell_length_c 10.020
_cell_angle_alpha 90.00
_cell_angle_beta 90.00
_cell_angle_gamma 90.00
loop_
_symmetry_equiv_pos_as_xyz
'x,y,z'
loop_
_atom_site_label
_atom_site_type_symbol
_atom_site_fract_x
_atom_site_fract_y
_atom_site_fract_z
_atom_site_occupancy
Cu1 Cu 0.000 0.500 0.490 1
Cu2 Cu 0.500 0.000 0.490 1
La1 La 0.000 0.000 0.767 1
As1 As 0.000 0.500 0.016 1
As2 As 0.500 0.500 0.644 1
As3 As 0.000 0.000 0.335 1
As4 As 0.500 0.000 0.016 1
Lu1 Lu 0.500 0.500 0.242 1
# - Space group: P4mm, No. 99
# - Energy: -42.01 eV for the cell shown